Record 1
Material: DyFeSi2Pd
Method: DFT, PBE
State: relaxed

The structure belongs to space group I-4m2 (No. 119); the cell edges are 3.996, 3.996 and 9.963 Å and the angles 90.00°, 90.00° and 90.00°. The asymmetric unit holds Dy at (0.000, 0.000, 0.000), Fe at (0.000, 0.500, 0.750), Si at (0.000, 0.000, 0.378) and Pd at (0.000, 0.500, 0.250).

The energy comes out at -6.557 eV per atom.

Record 2
Material: CsInOs
Method: DFT, PBE
State: relaxed

The structure belongs to space group F-43m (No. 216); the cell edges are 7.832, 7.832 and 7.832 Å and the angles 90.00°, 90.00° and 90.00°. The asymmetric unit holds Cs at (0.000, 0.000, 0.000), In at (0.250, 0.250, 0.750) and Os at (0.250, 0.250, 0.250).

As for the energy above the lowest structure with this stoichiometry: 0.850 eV/atom. The energy comes out at -2.696 eV per atom.

Record 3
Material: Nd2DyMg3CuHg2
Method: DFT, PBE
State: relaxed

The structure belongs to space group Amm2 (No. 38); the cell edges are 4.222, 13.553 and 7.849 Å and the angles 90.00°, 90.00° and 90.00°. The asymmetric unit holds Nd at (0.000, 0.201, 0.000), Dy at (0.000, 0.000, 0.602), Mg at (0.500, 0.000, 0.966), Mg at (0.500, 0.116, 0.320), Cu at (0.000, 0.000, 0.206) and Hg at (0.500, 0.162, 0.699).

The energy comes out at -2.891 eV per atom.

Record 4
Material: HoTm2Sc3Bi2Os
Method: DFT, PBE
State: relaxed

The structure belongs to space group Amm2 (No. 38); the cell edges are 4.207, 13.654 and 7.882 Å and the angles 90.00°, 90.00° and 90.00°. The asymmetric unit holds Ho at (0.000, 0.000, 0.000), Tm at (0.000, 0.192, 0.578), Sc at (0.500, 0.000, 0.612), Sc at (0.500, 0.112, 0.274), Bi at (0.500, 0.167, 0.886) and Os at (0.000, 0.000, 0.389).

The energy comes out at -6.359 eV per atom.

Record 5
Material: Y2Ho2CCl5
Method: DFT, PBE
State: relaxed

The structure belongs to space group C2/m (No. 12); the cell edges are 16.993, 3.723 and 7.774 Å and the angles 90.00°, 103.53° and 90.00°. The asymmetric unit holds Y at (0.001, 0.000, 0.289), Ho at (0.144, 0.500, 0.580), C at (0.000, 0.500, 0.500), Cl at (0.000, 0.500, 0.000), Cl at (0.165, 0.000, 0.838) and Cl at (0.172, 0.000, 0.342).

The energy comes out at -5.753 eV per atom.

Record 6
Material: NpCoPt
Method: DFT, PBE
State: relaxed

The structure belongs to space group F-43m (No. 216); the cell edges are 6.094, 6.094 and 6.094 Å and the angles 90.00°, 90.00° and 90.00°. The asymmetric unit holds Np at (0.000, 0.000, 0.000), Co at (0.250, 0.250, 0.250) and Pt at (0.000, 0.000, 0.500).

The energy comes out at -8.791 eV per atom.